Density functional theory data (PBE with a Hubbard U) for a relaxed TiGaWO6 crystal.

Computed properties:
E: -0.5509 Ry per atom
crystal system: trigonal
size of the total moment: 0.11 μB/atom
theoretical density: 6.81 g/cm³
density of states at the Fermi level: 0.17 states/eV per atom

Cell lengths 4.9980, 4.9980, 8.9651 Å; angles 90.00, 90.00, 120.00 degrees
Space group P-31c (No. 163)
One atom of each set of equivalent atoms:
Ti 0.3333 0.6667 0.2500 [2 per cell]
Ga 0.3333 0.6667 0.7500 [2 per cell]
W 0.0000 0.0000 0.0000 [2 per cell]
O 0.0057 0.3325 0.1293 [12 per cell]